Entry from Alexandria: a relaxed structure of Cs4CrTe4 (PBE).

Output
E_form (uncorrected): -6.96 eV/f.u.
Crystal system: tetragonal
SG: No. 121

a b c (Å): 9.3642 9.3642 9.3642
angles (deg): 131.34 131.34 71.28
Element x y z (fractional)
Cs  0.1598  0.1598  0.6012
Cs  0.4413  0.8402  0.0000
Cs  0.5587  0.5587  0.3988
Cs  0.8402  0.4413  0.0000
Cr  0.0000  0.0000  0.0000
Te  0.0896  0.7108  0.0000
Te  0.2892  0.2892  0.3787
Te  0.7108  0.0896  0.0000
Te  0.9104  0.9104  0.6213

Entry from Alexandria: a relaxed structure of CsCr3Te (PBE).

Output
E_form (uncorrected): 11.14 eV/f.u.
Crystal system: cubic
SG: No. 221

a b c (Å): 5.8231 5.8231 5.8231
angles (deg): 90.00 90.00 90.00
Element x y z (fractional)
Cs  0.0000  0.0000  0.0000
Cr  0.0000  0.0000  0.5000
Cr  0.0000  0.5000  0.0000
Cr  0.5000  0.0000  0.0000
Te  0.5000  0.5000  0.5000

Entry from Alexandria: a relaxed structure of Cs2CrTe (PBE).

Output
E_form (uncorrected): 0.48 eV/f.u.
Crystal system: cubic
SG: No. 225

a b c (Å): 6.3960 6.3960 6.3960
angles (deg): 60.00 60.00 60.00
Element x y z (fractional)
Cs  0.2500  0.2500  0.2500
Cs  0.7500  0.7500  0.7500
Cr  0.0000  0.0000  0.0000
Te  0.5000  0.5000  0.5000

Entry from Alexandria: a relaxed structure of CsCrTe2 (PBE).

Output
E_form (uncorrected): -2.11 eV/f.u.
Crystal system: trigonal
SG: No. 160

a b c (Å): 8.9355 8.9355 8.9355
angles (deg): 27.30 27.30 27.30
Element x y z (fractional)
Cs  0.0000  0.0000  0.0000
Cr  0.8321  0.8321  0.8321
Te  0.2199  0.2199  0.2199
Te  0.4448  0.4448  0.4448

Entry from Alexandria: a relaxed structure of CsCrTe2 (PBE).

Output
E_form (uncorrected): -1.77 eV/f.u.
Crystal system: orthorhombic
SG: No. 63

a b c (Å): 10.2372 10.2372 5.3737
angles (deg): 90.00 90.00 150.13
Element x y z (fractional)
Cs  0.0899  0.9101  0.7500
Cs  0.9101  0.0899  0.2500
Cr  0.2975  0.7025  0.7500
Cr  0.7025  0.2975  0.2500
Te  0.2509  0.7491  0.2500
Te  0.4280  0.5720  0.7500
Te  0.5720  0.4280  0.2500
Te  0.7491  0.2509  0.7500

Entry from Alexandria: a relaxed structure of CsTlCrTe3 (PBE).

Output
E_form (uncorrected): -2.29 eV/f.u.
Crystal system: orthorhombic
SG: No. 63

a b c (Å): 8.6563 8.6563 7.6875
angles (deg): 90.00 90.00 122.95
Element x y z (fractional)
Cs  0.2220  0.7780  0.7500
Cs  0.7780  0.2220  0.2500
Tl  0.4267  0.5733  0.2500
Tl  0.5733  0.4267  0.7500
Cr  0.0553  0.9447  0.2500
Cr  0.9447  0.0553  0.7500
Te  0.2036  0.2036  0.0000
Te  0.2036  0.2036  0.5000
Te  0.2244  0.7756  0.2500
Te  0.7756  0.2244  0.7500
Te  0.7964  0.7964  0.0000
Te  0.7964  0.7964  0.5000

Entry from Alexandria: a relaxed structure of Cs3UCr2Te6 (PBE).

Output
E_form (uncorrected): -6.94 eV/f.u.
Crystal system: monoclinic
SG: No. 12

a b c (Å): 7.4981 7.4981 9.2033
angles (deg): 97.83 97.83 119.95
Element x y z (fractional)
Cs  0.0000  0.0000  0.0000
Cs  0.3372  0.6628  0.0000
Cs  0.6628  0.3372  0.0000
U  0.5000  0.5000  0.5000
Cr  0.1669  0.8331  0.5000
Cr  0.8331  0.1669  0.5000
Te  0.0922  0.4416  0.3239
Te  0.2086  0.2086  0.6743
Te  0.4416  0.0922  0.3239
Te  0.5584  0.9078  0.6761
Te  0.7914  0.7914  0.3257
Te  0.9078  0.5584  0.6761

Entry from Alexandria: a relaxed structure of CsVCrTe3 (PBE).

Output
E_form (uncorrected): -2.54 eV/f.u.
Crystal system: monoclinic
SG: No. 11

a b c (Å): 9.9987 3.9572 10.7604
angles (deg): 90.00 116.77 90.00
Element x y z (fractional)
Cs  0.0198  0.2500  0.2527
Cs  0.9802  0.7500  0.7473
V  0.4839  0.7500  0.4166
V  0.5161  0.2500  0.5834
Cr  0.4822  0.2500  0.1574
Cr  0.5178  0.7500  0.8426
Te  0.2849  0.7500  0.1527
Te  0.3196  0.7500  0.5577
Te  0.3460  0.2500  0.8726
Te  0.6540  0.7500  0.1274
Te  0.6804  0.2500  0.4423
Te  0.7151  0.2500  0.8473

Entry from Alexandria: a relaxed structure of CsZnCrTe3 (PBE).

Output
E_form (uncorrected): -3.17 eV/f.u.
Crystal system: monoclinic
SG: No. 11

a b c (Å): 9.7546 4.2296 10.8428
angles (deg): 90.00 114.21 90.00
Element x y z (fractional)
Cs  0.2224  0.2500  0.2496
Cs  0.7776  0.7500  0.7504
Zn  0.0772  0.2500  0.6026
Zn  0.9228  0.7500  0.3974
Cr  0.3331  0.7500  0.8582
Cr  0.6669  0.2500  0.1418
Te  0.1412  0.2500  0.8613
Te  0.2282  0.7500  0.5635
Te  0.4787  0.7500  0.1327
Te  0.5213  0.2500  0.8673
Te  0.7718  0.2500  0.4365
Te  0.8588  0.7500  0.1387

Entry from Alexandria: a relaxed structure of CsTi3Cr (PBE).

Output
E_form: 2.541 eV per atom
Crystal system: cubic
SG: No. 221

a b c (Å): 4.8770 4.8770 4.8770
angles (deg): 90.00 90.00 90.00
Element x y z (fractional)
Cs  0.0000  0.0000  0.0000
Ti  0.0000  0.0000  0.5000
Ti  0.0000  0.5000  0.0000
Ti  0.5000  0.0000  0.0000
Cr  0.5000  0.5000  0.5000

Entry from Alexandria: a relaxed structure of CsYTiCr2 (PBE).

Output
E_form: 2.191 eV per atom
Crystal system: tetragonal
SG: No. 123

a b c (Å): 4.7728 4.7728 4.9252
angles (deg): 90.00 90.00 90.00
Element x y z (fractional)
Cs  0.0000  0.0000  0.0000
Y  0.5000  0.5000  0.5000
Ti  0.0000  0.0000  0.5000
Cr  0.0000  0.5000  0.0000
Cr  0.5000  0.0000  0.0000

Entry from Alexandria: a relaxed structure of Cs2TlCr2 (PBE).

Output
E_form: 1.150 eV per atom
Crystal system: tetragonal
SG: No. 127

a b c (Å): 11.1967 11.1967 3.4166
angles (deg): 90.00 90.00 90.00
Element x y z (fractional)
Cs  0.2147  0.2853  0.0000
Cs  0.2853  0.7853  0.0000
Cs  0.7147  0.2147  0.0000
Cs  0.7853  0.7147  0.0000
Tl  0.0000  0.0000  0.0000
Tl  0.5000  0.5000  0.0000
Cr  0.0544  0.5544  0.5000
Cr  0.4456  0.0544  0.5000
Cr  0.5544  0.9456  0.5000
Cr  0.9456  0.4456  0.5000